(1)
Here is an optimized crystal structure of PaCuGeO from Alexandria. Energies are from PBE.

a b c (Å): 3.9183 3.9183 8.1060
angles (deg): 90.00 90.00 90.00
Space group P4/nmm (No. 129, origin choice 2)
Asymmetric unit:
Pa: 0.2500 0.2500 0.1628
Cu: 0.2500 0.7500 0.5000
Ge: 0.2500 0.2500 0.6808
O: 0.2500 0.7500 0.0000

## Properties
E_form (uncorrected), eV per atom: -1.567
Crystal system: tetragonal
E_tot, eV/atom: -7.359



(2)
Here is an optimized crystal structure of ZrMo3Se from Alexandria. Energies are from PBE.

a b c (Å): 4.8468 4.8468 4.8468
angles (deg): 90.00 90.00 90.00
Space group Pm-3m (No. 221)
Asymmetric unit:
Zr: 0.0000 0.0000 0.0000
Mo: 0.0000 0.0000 0.5000
Se: 0.5000 0.5000 0.5000

## Properties
E_form (uncorrected), eV per atom: 2.127
Crystal system: cubic
E_tot, eV/atom: -6.778



(3)
Here is an optimized crystal structure of Tl3Ga6Sn5 from Alexandria. Energies are from PBE.

a b c (Å): 5.0388 13.6024 10.4351
angles (deg): 90.00 90.00 90.00
Space group Pmmn (No. 59, origin choice 2)
Asymmetric unit:
Tl: 0.2500 0.0457 0.2457
Tl: 0.2500 0.7500 0.2525
Ga: 0.2500 0.1060 0.6124
Ga: 0.2500 0.2500 0.0809
Ga: 0.2500 0.2500 0.4264
Ga: 0.2500 0.6031 0.9749
Sn: 0.2500 0.0980 0.8842
Sn: 0.2500 0.5985 0.5290
Sn: 0.2500 0.7500 0.7622

## Properties
Energy of formation from the pure elements, eV per atom: 0.04
Crystal system: orthorhombic
E_tot, eV/atom: -3.199



(4)
Here is an optimized crystal structure of TbY2Ru from Alexandria. Energies are from PBE.

a b c (Å): 3.5072 3.5072 32.1745
angles (deg): 90.00 90.00 120.00
Space group R-3m (No. 166, hexagonal axes)
Asymmetric unit:
Tb: 0.0000 0.0000 0.0000
Y: 0.0000 0.0000 0.1071
Ru: 0.0000 0.0000 0.5000

## Properties
Energy of formation from the pure elements, eV per atom: 0.14
Crystal system: trigonal
E_tot, eV/atom: -6.568



(5)
Here is an optimized crystal structure of Cs2CuHgI6 from Alexandria. Energies are from PBE.

a b c (Å): 8.5113 8.5127 8.5347
angles (deg): 119.75 119.82 90.05
Space group P-1 (No. 2)
Asymmetric unit:
Cs: 0.2495 0.2502 0.0000
Cu: 0.0000 0.5000 0.5000
Hg: 0.5000 0.0000 0.5000
I: 0.2201 0.7201 0.4980
I: 0.2214 0.2796 0.5009
I: 0.2768 0.7776 0.0521

## Properties
E_form (uncorrected), eV per atom: -0.714
Crystal system: triclinic
E_tot, eV/atom: -2.255



(6)
Here is an optimized crystal structure of Li3Zn2Ag4 from Alexandria. Energies are from PBE.

a b c (Å): 7.8940 4.3792 8.3204
angles (deg): 90.00 93.35 90.00
Space group C2/m (No. 12)
Asymmetric unit:
Li: 0.0000 0.0000 0.0000
Li: 0.1655 0.5000 0.5565
Zn: 0.1660 0.5000 0.2216
Ag: 0.0008 0.0000 0.3290
Ag: 0.1685 0.5000 0.8881

## Properties
Energy of formation from the pure elements, eV per atom: -0.18
Crystal system: monoclinic
E_tot, eV/atom: -2.368



(7)
Here is an optimized crystal structure of ZrZn2 from Alexandria. Energies are from PBE.

a b c (Å): 3.8273 3.8273 14.9061
angles (deg): 90.00 90.00 90.00
Space group I4_1/amd (No. 141, origin choice 2)
Asymmetric unit:
Zr: 0.0000 0.2500 0.3750
Zn: 0.0000 0.2500 0.7954

## Properties
Energy of formation from the pure elements, eV per atom: -0.11
Crystal system: tetragonal
E_tot, eV/atom: -3.812



(8)
Here is an optimized crystal structure of Er2AlZn2Rh5 from Alexandria. Energies are from PBE.

a b c (Å): 9.7550 9.7550 3.4541
angles (deg): 90.00 90.00 90.00
Space group P4/mbm (No. 127)
Asymmetric unit:
Er: 0.1718 0.3282 0.0000
Al: 0.0000 0.0000 0.0000
Zn: 0.1284 0.6284 0.0000
Rh: 0.0000 0.5000 0.5000
Rh: 0.0644 0.8033 0.5000

## Properties
Energy of formation from the pure elements, eV per atom: -0.69
Crystal system: tetragonal
E_tot, eV/atom: -5.907



(9)
Here is an optimized crystal structure of Rb2IrPtO4 from Alexandria. Energies are from PBE.

a b c (Å): 4.4209 6.3828 7.0429
angles (deg): 112.67 100.81 95.28
Space group P1 (No. 1)
Asymmetric unit:
Rb: 0.0000 0.0000 0.0000
Rb: 0.1463 0.4793 0.4956
Ir: 0.6282 0.9572 0.4411
Pt: 0.6186 0.4533 0.9418
O: 0.5769 0.1435 0.2964
O: 0.6205 0.7066 0.1872
O: 0.6226 0.2039 0.6940
O: 0.7116 0.7749 0.5855

## Properties
E_form (uncorrected), eV per atom: -0.821
Crystal system: triclinic
E_tot, eV/atom: -5.405



(10)
Here is an optimized crystal structure of SrEuGa from Alexandria. Energies are from PBE.

a b c (Å): 3.8942 3.8942 13.6940
angles (deg): 90.00 90.00 90.00
Space group I4mm (No. 107)
Asymmetric unit:
Sr: 0.0000 0.0000 0.0000
Eu: 0.0000 0.0000 0.2632
Ga: 0.0000 0.0000 0.6408

## Properties
Energy of formation from the pure elements, eV per atom: -0.30
Crystal system: tetragonal
E_tot, eV/atom: -5.296



(11)
Here is an optimized crystal structure of ScNbCl2 from Alexandria. Energies are from PBE.

a b c (Å): 6.4880 6.4880 6.4880
angles (deg): 90.00 90.00 90.00
Space group Fm-3m (No. 225)
Asymmetric unit:
Sc: 0.0000 0.0000 0.0000
Nb: 0.0000 0.0000 0.5000
Cl: 0.2500 0.2500 0.2500

## Properties
E_form (uncorrected), eV per atom: -0.173
Crystal system: cubic
E_tot, eV/atom: -5.197



(12)
Here is an optimized crystal structure of TbCdGa from Alexandria. Energies are from PBE.

a b c (Å): 10.7682 4.5176 7.3062
angles (deg): 90.00 129.77 90.00
Space group C2/m (No. 12)
Asymmetric unit:
Tb: 0.0493 0.0000 0.3033
Cd: 0.1704 0.5000 0.0974
Ga: 0.1539 0.5000 0.6651

## Properties
Energy of formation from the pure elements, eV per atom: -0.48
Crystal system: monoclinic
E_tot, eV/atom: -3.335



(13)
Here is an optimized crystal structure of ZrFe2Ir from Alexandria. Energies are from PBE.

a b c (Å): 3.7286 3.7286 19.0087
angles (deg): 90.00 90.00 90.00
Space group I-42d (No. 122)
Asymmetric unit:
Zr: 0.0000 0.0000 0.0000
Fe: 0.2147 0.2500 0.6250
Ir: 0.0000 0.0000 0.5000

## Properties
Energy of formation from the pure elements, eV per atom: 0.16
Crystal system: tetragonal
E_tot, eV/atom: -8.423



(14)
Here is an optimized crystal structure of HoTeMo from Alexandria. Energies are from PBE.

a b c (Å): 3.6443 3.6443 12.0769
angles (deg): 90.00 90.00 90.00
Space group P4/nmm (No. 129, origin choice 2)
Asymmetric unit:
Ho: 0.2500 0.2500 0.1189
Te: 0.2500 0.2500 0.7483
Mo: 0.2500 0.2500 0.5252

## Properties
E_form (uncorrected), eV per atom: 0.000
Crystal system: tetragonal
E_tot, eV/atom: -6.184



(15)
Here is an optimized crystal structure of LaAgPdRh from Alexandria. Energies are from PBE.

a b c (Å): 6.8154 6.8154 6.8154
angles (deg): 90.00 90.00 90.00
Space group F-43m (No. 216)
Asymmetric unit:
La: 0.0000 0.0000 0.0000
Ag: 0.0000 0.0000 0.5000
Pd: 0.2500 0.2500 0.7500
Rh: 0.2500 0.2500 0.2500

## Properties
Energy of formation from the pure elements, eV per atom: -0.41
Crystal system: cubic
E_tot, eV/atom: -5.492



(16)
Here is an optimized crystal structure of HoPuSb from Alexandria. Energies are from PBE.

a b c (Å): 4.0224 4.0224 9.9774
angles (deg): 90.00 90.00 90.00
Space group I4mm (No. 107)
Asymmetric unit:
Ho: 0.0000 0.0000 0.0000
Pu: 0.0000 0.0000 0.3099
Sb: 0.0000 0.0000 0.6480

## Properties
E_form (uncorrected), eV per atom: -0.452
Crystal system: tetragonal
E_tot, eV/atom: -8.129



(17)
Here is an optimized crystal structure of Pr2Nd8Tl from Alexandria. Energies are from PBE.

a b c (Å): 5.6814 7.7676 17.6992
angles (deg): 90.00 90.00 90.00
Space group Immm (No. 71)
Asymmetric unit:
Pr: 0.0000 0.0000 0.1922
Nd: 0.0000 0.2424 0.0000
Nd: 0.0000 0.2728 0.3638
Nd: 0.0000 0.5000 0.1772
Tl: 0.0000 0.0000 0.5000

## Properties
Energy of formation from the pure elements, eV per atom: 0.02
Crystal system: orthorhombic
E_tot, eV/atom: -4.529



(18)
Here is an optimized crystal structure of KCu3 from Alexandria. Energies are from PBE.

a b c (Å): 5.8905 5.8905 5.8905
angles (deg): 90.00 90.00 90.00
Space group Pm-3m (No. 221)
Asymmetric unit:
K: 0.0000 0.0000 0.0000
Cu: 0.0000 0.0000 0.5000

## Properties
Energy of formation from the pure elements, eV per atom: 1.95
Crystal system: cubic
E_tot, eV/atom: -1.393



(19)
Here is an optimized crystal structure of Na3Cd2Sn5 from Alexandria. Energies are from PBE.

a b c (Å): 12.3739 13.9135 7.2619
angles (deg): 90.00 90.00 90.00
Space group Ibam (No. 72)
Asymmetric unit:
Na: 0.0000 0.0000 0.2500
Na: 0.2425 0.3768 0.0000
Cd: 0.1504 0.1312 0.0000
Sn: 0.0000 0.2290 0.2500
Sn: 0.0000 0.5000 0.2500
Sn: 0.1227 0.3653 0.5000

## Properties
Energy of formation from the pure elements, eV per atom: -0.03
Crystal system: orthorhombic
E_tot, eV/atom: -2.608



(20)
Here is an optimized crystal structure of CsBa2ZnRh from Alexandria. Energies are from PBE.

a b c (Å): 6.1092 6.1092 5.2768
angles (deg): 90.00 90.00 90.00
Space group P4/mmm (No. 123)
Asymmetric unit:
Cs: 0.0000 0.0000 0.0000
Ba: 0.0000 0.5000 0.5000
Zn: 0.5000 0.5000 0.0000
Rh: 0.5000 0.5000 0.5000

## Properties
Energy of formation from the pure elements, eV per atom: 0.01
Crystal system: tetragonal
E_tot, eV/atom: -2.659



(21)
Here is an optimized crystal structure of ErTh8C6 from Alexandria. Energies are from PBE.

a b c (Å): 6.3892 6.3892 28.2969
angles (deg): 90.00 90.00 120.00
Space group R-3 (No. 148, hexagonal axes)
Asymmetric unit:
Er: 0.0000 0.0000 0.0000
Th: 0.0000 0.0000 0.3334
Th: 0.9998 0.3318 0.1036
C: 0.0000 0.3289 0.9430

## Properties
Energy of formation from the pure elements, eV per atom: -0.26
Crystal system: trigonal
E_tot, eV/atom: -8.216



(22)
Here is an optimized crystal structure of KCdPd2I from Alexandria. Energies are from PBE.

a b c (Å): 5.1128 5.1128 6.4769
angles (deg): 90.00 90.00 90.00
Space group P4/mmm (No. 123)
Asymmetric unit:
K: 0.0000 0.0000 0.0000
Cd: 0.0000 0.0000 0.5000
Pd: 0.0000 0.5000 0.5000
I: 0.5000 0.5000 0.0000

## Properties
E_form (uncorrected), eV per atom: 0.177
Crystal system: tetragonal
E_tot, eV/atom: -2.613



(23)
Here is an optimized crystal structure of K3HfB from Alexandria. Energies are from PBE.

a b c (Å): 6.7806 6.7806 6.7806
angles (deg): 90.00 90.00 90.00
Space group Pm-3m (No. 221)
Asymmetric unit:
K: 0.0000 0.0000 0.5000
Hf: 0.0000 0.0000 0.0000
B: 0.5000 0.5000 0.5000

## Properties
Energy of formation from the pure elements, eV per atom: 2.16
Crystal system: cubic
E_tot, eV/atom: -1.825



(24)
Here is an optimized crystal structure of Ta2PtCl from Alexandria. Energies are from PBE.

a b c (Å): 2.9224 5.3780 8.8747
angles (deg): 90.00 90.00 90.00
Space group Immm (No. 71)
Asymmetric unit:
Ta: 0.0000 0.0000 0.2303
Pt: 0.0000 0.5000 0.0000
Cl: 0.0000 0.5000 0.5000

## Properties
E_form (uncorrected), eV per atom: 0.206
Crystal system: orthorhombic
E_tot, eV/atom: -7.692